A relaxed La3PrSm6Er2 crystal, computed with GGA-PBE.

Lattice parameters (Å, degrees): 6.311 6.311 12.111 95.00 95.00 120.02
Element x y z (fractional)
La  0.167  0.833  0.500
La  0.833  0.167  0.500
La  0.500  0.500  0.500
Pr  0.000  0.000  0.000
Sm  0.918  0.584  0.755
Sm  0.747  0.747  0.245
Sm  0.082  0.416  0.245
Sm  0.584  0.918  0.755
Sm  0.253  0.253  0.755
Sm  0.416  0.082  0.245
Er  0.333  0.667  0.000
Er  0.667  0.333  0.000

Summary:
Electronic total energy ... -4.73 eV per atom

A relaxed PaIrS crystal, computed with GGA-PBE.

Lattice parameters (Å, degrees): 3.923 3.923 11.733 80.38 80.38 60.00
Element x y z (fractional)
Pa  0.263  0.263  0.210
Pa  0.737  0.737  0.790
Ir  0.358  0.358  0.926
Ir  0.642  0.642  0.074
S  0.886  0.886  0.341
S  0.114  0.114  0.659

Summary:
Formation energy from raw total energies ... -1.039 eV per atom

A relaxed Mg2ScCr crystal, computed with GGA-PBE.

Lattice parameters (Å, degrees): 3.241 3.241 7.846 90.00 90.00 90.00
Element x y z (fractional)
Cr  0.500  0.500  0.749
Mg  0.000  0.000  0.966
Mg  0.500  0.500  0.242
Sc  0.000  0.000  0.543

Summary:
Polymorph energy (0 for the lowest one) ... 0.0000 eV/atom